No. 1
Below is an optimized crystal structure of KHf2Bi2, with properties calculated at the PBE level.

Unit cell a=8.304 b=8.304 c=8.304 alpha=147.69 beta=147.69 gamma=46.35
Fractional positions:
K 0.000 0.000 0.000
Hf 0.250 0.750 0.500
Hf 0.750 0.250 0.500
Bi 0.373 0.373 0.000
Bi 0.627 0.627 0.000

Properties
**Raw total energy**: -5.8281 eV per atom
**N(E_F)**: 0.881 states/eV per atom
**Total moment**: 0.00 μB per formula unit
**Energy of formation**: -0.075 eV per atom

No. 2
Below is an optimized crystal structure of PmSmAl3, with properties calculated at the PBE level.

Unit cell a=14.184 b=14.184 c=4.576 alpha=90.00 beta=90.00 gamma=165.09
Fractional positions:
Pm 0.210 0.790 0.750
Pm 0.790 0.210 0.250
Sm 0.071 0.929 0.250
Sm 0.929 0.071 0.750
Al 0.332 0.668 0.750
Al 0.382 0.618 0.250
Al 0.476 0.524 0.250
Al 0.524 0.476 0.750
Al 0.618 0.382 0.750
Al 0.668 0.332 0.250

Properties
**Raw total energy**: -4.5765 eV per atom
**N(E_F)**: 0.661 states/eV per atom
**Total moment**: 0.27 μB per formula unit
**Energy of formation**: -0.437 eV per atom

No. 3
Below is an optimized crystal structure of Pm2CdGa, with properties calculated at the PBE level.

Unit cell a=5.312 b=5.312 c=5.312 alpha=60.00 beta=60.00 gamma=60.00
Fractional positions:
Pm 0.250 0.250 0.250
Pm 0.750 0.750 0.750
Cd 0.000 0.000 0.000
Ga 0.500 0.500 0.500

Properties
**Raw total energy**: -3.7967 eV per atom
**N(E_F)**: 0.963 states/eV per atom
**Total moment**: 0.00 μB per formula unit
**Energy of formation**: -0.436 eV per atom

No. 4
Below is an optimized crystal structure of Th2Hg3, with properties calculated at the PBE level.

Unit cell a=15.299 b=15.299 c=5.017 alpha=90.00 beta=90.00 gamma=166.94
Fractional positions:
Th 0.073 0.927 0.750
Th 0.215 0.785 0.250
Th 0.785 0.215 0.750
Th 0.927 0.073 0.250
Hg 0.326 0.674 0.250
Hg 0.380 0.620 0.750
Hg 0.476 0.524 0.750
Hg 0.524 0.476 0.250
Hg 0.620 0.380 0.250
Hg 0.674 0.326 0.750

Properties
**Raw total energy**: -3.3708 eV per atom
**N(E_F)**: 0.914 states/eV per atom
**Total moment**: 0.00 μB per formula unit
**Energy of formation**: -0.222 eV per atom

No. 5
Below is an optimized crystal structure of LaTm3Cu4, with properties calculated at the PBE level.

Unit cell a=4.929 b=4.929 c=6.933 alpha=90.00 beta=90.00 gamma=90.00
Fractional positions:
La 0.000 0.000 0.000
Tm 0.000 0.000 0.500
Tm 0.500 0.500 0.000
Tm 0.500 0.500 0.500
Cu 0.000 0.500 0.269
Cu 0.000 0.500 0.731
Cu 0.500 0.000 0.269
Cu 0.500 0.000 0.731

Properties
**Raw total energy**: -4.5753 eV per atom
**N(E_F)**: 0.647 states/eV per atom
**Total moment**: 0.00 μB per formula unit
**Energy of formation**: -0.234 eV per atom

No. 6
Below is an optimized crystal structure of K3La3MnSe8, with properties calculated at the PBE level.

Unit cell a=9.244 b=9.244 c=9.244 alpha=55.23 beta=55.23 gamma=55.23
Fractional positions:
K 0.000 0.500 0.500
K 0.500 0.000 0.500
K 0.500 0.500 0.000
La 0.000 0.000 0.500
La 0.000 0.500 0.000
La 0.500 0.000 0.000
Mn 0.500 0.500 0.500
Se 0.238 0.238 0.238
Se 0.274 0.707 0.707
Se 0.293 0.293 0.726
Se 0.293 0.726 0.293
Se 0.707 0.274 0.707
Se 0.707 0.707 0.274
Se 0.726 0.293 0.293
Se 0.762 0.762 0.762

Properties
**Formation energy (no corrections)**: -1464 meV/atom
**Raw total energy**: -5.1388 eV per atom
**Total moment**: 2.94 μB per formula unit

No. 7
Below is an optimized crystal structure of YMn2, with properties calculated at the PBE level.

Unit cell a=7.241 b=7.241 c=4.334 alpha=90.00 beta=90.00 gamma=149.24
Fractional positions:
Y 0.093 0.907 0.750
Y 0.907 0.093 0.250
Mn 0.250 0.750 0.250
Mn 0.378 0.622 0.750
Mn 0.622 0.378 0.250
Mn 0.750 0.250 0.750

Properties
**Raw total energy**: -7.9219 eV per atom
**N(E_F)**: 1.194 states/eV per atom
**Total moment**: 6.18 μB per formula unit
**Energy of formation**: 0.346 eV per atom

No. 8
Below is an optimized crystal structure of LaThP2, with properties calculated at the PBE level.

Unit cell a=7.296 b=7.296 c=7.296 alpha=33.44 beta=33.44 gamma=33.44
Fractional positions:
La 0.000 0.000 0.000
Th 0.500 0.500 0.500
P 0.247 0.247 0.247
P 0.753 0.753 0.753

Properties
**Raw total energy**: -7.3768 eV per atom
**N(E_F)**: 0.506 states/eV per atom
**Total moment**: 0.00 μB per formula unit
**Energy of formation**: -1.585 eV per atom

No. 9
Below is an optimized crystal structure of InIrW2, with properties calculated at the PBE level.

Unit cell a=4.963 b=4.963 c=5.056 alpha=98.92 beta=98.92 gamma=33.06
Fractional positions:
In 0.000 0.000 0.000
Ir 0.755 0.755 0.232
W 0.236 0.236 0.713
W 0.480 0.480 0.495

Properties
**Raw total energy**: -9.0728 eV per atom
**N(E_F)**: 0.518 states/eV per atom
**Total moment**: 0.00 μB per formula unit
**Energy of formation**: 0.304 eV per atom

No. 10
Below is an optimized crystal structure of CsNdCu2I6, with properties calculated at the PBE level.

Unit cell a=9.675 b=9.675 c=10.208 alpha=100.42 beta=100.42 gamma=107.77
Fractional positions:
Cs 0.140 0.860 0.750
Cs 0.860 0.140 0.250
Nd 0.443 0.557 0.250
Nd 0.557 0.443 0.750
Cu 0.128 0.391 0.757
Cu 0.391 0.128 0.257
Cu 0.609 0.872 0.743
Cu 0.872 0.609 0.243
I 0.095 0.534 0.217
I 0.202 0.218 0.595
I 0.218 0.202 0.095
I 0.362 0.594 0.933
I 0.406 0.638 0.567
I 0.466 0.905 0.283
I 0.534 0.095 0.717
I 0.594 0.362 0.433
I 0.638 0.406 0.067
I 0.782 0.798 0.905
I 0.798 0.782 0.405
I 0.905 0.466 0.783

Properties
**Formation energy (no corrections)**: -864 meV/atom
**Raw total energy**: -3.1758 eV per atom
**N(E_F)**: 0.000 states/eV per atom
**Total moment**: 0.00 μB per formula unit

No. 11
Below is an optimized crystal structure of Tm3Zn3Si, with properties calculated at the PBE level.

Unit cell a=9.640 b=9.640 c=9.640 alpha=156.58 beta=155.27 gamma=34.32
Fractional positions:
Tm 0.000 0.000 0.000
Tm 0.376 0.376 0.000
Tm 0.697 0.197 0.500
Zn 0.125 0.625 0.500
Zn 0.547 0.547 0.000
Zn 0.832 0.832 0.000
Si 0.256 0.756 0.500

Properties
**Formation energy (no corrections)**: -423 meV/atom
**Raw total energy**: -3.6603 eV per atom
**N(E_F)**: 0.758 states/eV per atom
**Total moment**: 0.00 μB per formula unit

No. 12
Below is an optimized crystal structure of MgTl2Sb, with properties calculated at the PBE level.

Unit cell a=3.411 b=5.208 c=6.542 alpha=90.00 beta=103.91 gamma=90.00
Fractional positions:
Mg 0.000 0.000 0.000
Tl 0.491 0.500 0.750
Tl 0.509 0.500 0.250
Sb 0.000 0.000 0.500

Properties
**Formation energy (no corrections)**: 42 meV/atom
**Raw total energy**: -2.5708 eV per atom
**N(E_F)**: 0.495 states/eV per atom
**Total moment**: 0.00 μB per formula unit